1.
## GdDyNi4Sn2 (PBE)

Data for crystalline GdDyNi4Sn2 at its relaxed geometry.

Summary:
Magnetic moment = 0.000 μB/atom
Total energy = -5.472 eV per atom

Unit cell a=4.3683 b=4.3683 c=8.6484 alpha=90.00 beta=90.00 gamma=120.00
Last column: nearest neighbours and their distance in Å.
Space group P-6m2 (No. 187)
Inequivalent atoms, fractional coordinates:
1 Gd 0.0000 0.0000 0.0000  8 Ni 2.90-2.91
2 Dy 0.3333 0.6667 0.5000  8 Ni 2.87-2.90
3 Ni 0.0000 0.0000 0.3352  3 Sn 2.62, 4 Ni 2.85-2.91, 3 Dy 2.90, 1 Gd 2.90
4 Ni 0.3333 0.6667 0.1680  3 Sn 2.62, 1 Dy 2.87, 4 Ni 2.91, 3 Gd 2.91
5 Sn 0.6667 0.3333 0.2514  6 Ni 2.62


2.
## GdBe3Cl (PBE)

Data for crystalline GdBe3Cl at its relaxed geometry.

Summary:
Magnetic moment = 0.001 μB/atom
Total energy = -1.827 eV per atom

Unit cell a=5.5043 b=5.5043 c=5.5043 alpha=90.00 beta=90.00 gamma=90.00
Last column: nearest neighbours and their distance in Å.
Space group Pm-3m (No. 221)
Inequivalent atoms, fractional coordinates:
1 Gd 0.0000 0.0000 0.0000  6 Be 2.75
2 Be 0.0000 0.0000 0.5000  2 Gd 2.75
3 Cl 0.5000 0.5000 0.5000  12 Be 3.89


3.
## Sc2ZnPt (PBE)

Data for crystalline Sc2ZnPt at its relaxed geometry.

Summary:
Magnetic moment = 0.000 μB/atom
DFT formation energy = -0.70 eV per atom
Total energy = -5.691 eV per atom

Unit cell a=6.4979 b=6.4979 c=6.4979 alpha=90.00 beta=90.00 gamma=90.00
Last column: nearest neighbours and their distance in Å.
Space group F-43m (No. 216)
Inequivalent atoms, fractional coordinates:
1 Sc 0.0000 0.0000 0.0000  4 Sc 2.81, 4 Zn 2.81
2 Sc 0.2500 0.2500 0.2500  4 Sc 2.81, 4 Pt 2.81
3 Zn 0.2500 0.2500 0.7500  4 Sc 2.81, 4 Pt 2.81
4 Pt 0.0000 0.0000 0.5000  4 Zn 2.81, 4 Sc 2.81


4.
## KDyCdTe3 (PBE)

Data for crystalline KDyCdTe3 at its relaxed geometry.

Summary:
Polymorph energy (0 for the lowest one) = 0.4 meV/atom
Magnetic moment = 0.000 μB/atom
Total energy = -3.729 eV per atom

Unit cell a=11.8129 b=4.4868 c=15.8001 alpha=90.00 beta=90.00 gamma=90.00
Last column: nearest neighbours and their distance in Å.
Space group Pnma (No. 62)
Inequivalent atoms, fractional coordinates:
1 K 0.2312 0.2500 0.0071  7 Te 3.64-3.75, 2 Cd 3.97
2 Dy 0.0152 0.7500 0.7463  6 Te 3.12-3.21
3 Cd 0.2380 0.7500 0.2147  4 Te 2.81-2.87
4 Te 0.0349 0.7500 0.1219  1 Cd 2.81, 2 Dy 3.12
5 Te 0.0655 0.2500 0.6146  1 Cd 2.81, 2 Dy 3.12
6 Te 0.2357 0.2500 0.3277  2 Cd 2.87, 1 Dy 3.19


What is the formula in the third record? Sc2ZnPt


What is the formula in the first record? GdDyNi4Sn2


What is the total energy in the third record? -5.691 eV per atom